(1)
Computed, not measured: a relaxed Tb5Sm12Ho2 crystal at the PBE level of DFT.

Structure (POSCAR):
```
Tb5Sm12Ho2
1.0
-2.9843 -8.7582 -0.4064
1.5879 3.9804 8.0923
-8.2494 2.8167 -0.1250
Ho Sm Tb
2 12 5
Direct
0.3292 0.0000 0.0000
0.6708 0.0000 0.0000
0.0767 0.1534 0.8794
0.9233 0.8466 0.1206
0.8255 0.2599 0.6784
0.1745 0.7401 0.3216
0.6695 0.7009 0.7621
0.9686 0.2991 0.2379
0.5587 0.1173 0.3417
0.4413 0.8827 0.6583
0.0314 0.7009 0.7621
0.5656 0.7401 0.3216
0.4344 0.2599 0.6784
0.3305 0.2991 0.2379
0.2950 0.5899 0.9713
0.7050 0.4101 0.0287
0.7685 0.5371 0.4318
0.2315 0.4629 0.5682
0.0000 0.0000 0.5000
```

Output
- total moment (μB/f.u.) = 0.000
- DFT formation energy (eV/atom) = 0.122
- space group = No. 12

=====

(2)
Computed, not measured: a relaxed Tb5Sm3Ho4 crystal at the PBE level of DFT.

Structure (POSCAR):
```
Tb5Sm3Ho4
1.0
6.8770 -0.4226 1.8257
-5.1746 7.5014 -6.6309
4.0762 -3.9202 11.5369
Tb Ho Sm
5 4 3
Direct
0.6661 0.3325 0.1661
0.2511 0.4992 0.9992
0.5000 0.0000 0.5000
0.7489 0.5008 0.0008
0.3339 0.6675 0.8339
0.8338 0.6671 0.8336
0.1662 0.3329 0.1664
0.0830 0.1661 0.3324
0.9170 0.8339 0.6676
0.0000 0.0000 0.5000
0.5851 0.1679 0.3338
0.4149 0.8321 0.6662
```

Output
- total moment (μB/f.u.) = 0.000
- DFT formation energy (eV/atom) = 0.015
- space group = No. 2

=====

(3)
Computed, not measured: a relaxed Tb3Sm7Ho crystal at the PBE level of DFT.

Structure (POSCAR):
```
Tb3Sm7Ho
1.0
4.7668 -0.1110 -2.9729
-1.0796 9.7456 -2.0980
-1.0814 -0.7699 8.9155
Tb Ho Sm
3 1 7
Direct
0.0000 0.5000 0.0000
0.2799 0.0002 0.7801
0.7201 0.9998 0.2199
0.5000 0.5000 0.5000
0.0860 0.1710 0.0859
0.9140 0.8290 0.9141
0.3180 0.6392 0.8181
0.1461 0.2913 0.6460
0.6820 0.3608 0.1819
0.5000 0.0000 0.5000
0.8539 0.7087 0.3540
```

Output
- total moment (μB/f.u.) = 0.000
- DFT formation energy (eV/atom) = 0.125
- space group = No. 10

=====

(4)
Computed, not measured: a relaxed Tb2Sm5Ho3 crystal at the PBE level of DFT.

Structure (POSCAR):
```
Tb2Sm5Ho3
1.0
10.9103 0.0000 0.0000
5.4552 8.2618 0.4019
5.4552 2.5799 7.8589
Sm Ho Tb
10 6 4
Direct
0.3730 0.7269 0.5270
0.1270 0.4730 0.2731
0.2500 0.5000 0.5000
0.8730 0.5270 0.7269
0.0018 0.2482 0.2482
0.5018 0.2482 0.2482
0.7500 0.5000 0.5000
0.4982 0.7518 0.7518
0.6270 0.2731 0.4730
0.9982 0.7518 0.7518
0.1241 0.1266 0.6253
0.8759 0.8734 0.3747
0.2500 0.0000 0.0000
0.7500 0.0000 0.0000
0.3759 0.3747 0.8734
0.6241 0.6253 0.1266
0.6221 0.9697 0.7861
0.1221 0.7861 0.9697
0.3779 0.0303 0.2139
0.8779 0.2139 0.0303
```

Output
- total moment (μB/f.u.) = 0.000
- DFT formation energy (eV/atom) = 0.387
- space group = No. 72

=====

(5)
Computed, not measured: a relaxed Tb3Sm8Ho crystal at the PBE level of DFT.

Structure (POSCAR):
```
Tb3Sm8Ho
1.0
11.3520 0.0000 0.0000
-5.6760 9.3922 -7.7020
0.0000 -5.9808 8.6081
Sm Tb Ho
8 3 1
Direct
0.9204 0.8407 0.1808
0.9278 0.3340 0.1683
0.4062 0.3340 0.1683
0.5874 0.1747 0.8492
0.4126 0.8253 0.1508
0.0796 0.1593 0.8192
0.5938 0.6660 0.8317
0.0722 0.6660 0.8317
0.5000 0.5000 0.0000
0.0000 0.5000 0.0000
0.5000 0.0000 0.0000
0.0000 0.0000 0.0000
```

Output
- total moment (μB/f.u.) = 0.000
- DFT formation energy (eV/atom) = 0.062
- space group = No. 12

=====

(6)
Computed, not measured: a relaxed Tb5SmHo7 crystal at the PBE level of DFT.

Structure (POSCAR):
```
Tb5SmHo7
1.0
6.6657 0.0000 0.0000
3.3329 7.9976 0.1703
3.3329 0.1445 7.9981
Tb Ho Sm
5 7 1
Direct
0.9994 0.5399 0.9964
0.7326 0.7674 0.7674
0.9994 0.9964 0.5399
0.4644 0.9964 0.5399
0.4644 0.5399 0.9964
0.9819 0.3488 0.6873
0.4805 0.1889 0.8501
0.9819 0.6873 0.3488
0.7284 0.2716 0.2716
0.4239 0.5761 0.5761
0.4805 0.8501 0.1889
0.2302 0.2698 0.2698
0.0325 0.9675 0.9675
```

Output
- total moment (μB/f.u.) = 0.000
- DFT formation energy (eV/atom) = 0.254
- space group = No. 44

=====

(7)
Computed, not measured: a relaxed TbSm4Ho crystal at the PBE level of DFT.

Structure (POSCAR):
```
TbSm4Ho
1.0
3.5946 -0.0030 -0.0006
-1.7943 7.6691 -5.3557
0.0014 -5.1649 10.7812
Sm Ho Tb
4 1 1
Direct
0.8331 0.6670 0.4996
0.3324 0.6649 0.9985
0.1671 0.3330 0.5005
0.6675 0.3351 0.0014
0.5000 0.9998 0.4999
0.9999 0.0001 0.0001
```

Output
- total moment (μB/f.u.) = 0.000
- DFT formation energy (eV/atom) = 0.015
- space group = No. 12

=====

(8)
Computed, not measured: a relaxed Tb8SmHo2 crystal at the PBE level of DFT.

Structure (POSCAR):
```
Tb8SmHo2
1.0
-3.2650 -2.3396 -4.3126
2.5218 -6.9972 -5.1140
-2.1355 -8.6408 2.8040
Tb Ho Sm
8 2 1
Direct
0.8148 0.3392 0.7592
0.8148 0.0984 0.2408
0.7075 0.5673 0.0000
0.1852 0.6608 0.2408
0.5000 0.7946 0.4108
0.2925 0.4327 0.0000
0.1852 0.9016 0.7592
0.5000 0.2054 0.5892
0.0000 0.6905 0.6190
0.0000 0.3095 0.3810
0.5000 0.0000 0.0000
```

Output
- total moment (μB/f.u.) = 0.000
- DFT formation energy (eV/atom) = 0.154
- space group = No. 12

=====

(9)
Computed, not measured: a relaxed TbSmHo2 crystal at the PBE level of DFT.

Structure (POSCAR):
```
TbSmHo2
1.0
-1.8062 -3.5916 3.0251
4.3940 -7.0263 -5.7185
8.2990 0.5885 5.6537
Sm Ho Tb
4 8 4
Direct
0.7500 0.8740 0.5000
0.2500 0.6260 0.0000
0.2500 0.1260 0.5000
0.7500 0.3740 0.0000
0.2500 0.1237 0.0001
0.7500 0.8763 0.9999
0.7500 0.3763 0.5001
0.2500 0.6237 0.4999
0.2500 0.3750 0.7490
0.7500 0.1250 0.2490
0.7500 0.6250 0.2510
0.2500 0.8750 0.7510
0.7500 0.1251 0.7512
0.2500 0.3749 0.2512
0.7500 0.6251 0.7488
0.2500 0.8749 0.2488
```

Output
- total moment (μB/f.u.) = 0.001
- DFT formation energy (eV/atom) = 0.020
- space group = No. 62